{"formula": "HfIrI2", "functional": "meta-GGA SCAN", "state": "single point on PBEsol structure", "magmom_total_mub_per_cell": 0.001, "dos_at_fermi_per_ev_atom": 0.73, "raw_formation_energy_ev_per_atom": 0.8325, "vol_a3_per_cell": 455, "space_group": "I-42d (122)", "cell": [[6.3648, 0.0000, 0.0000], [0.0000, 6.3648, 0.0000], [0.0000, 0.0000, 11.2285]], "species": ["Hf", "Hf", "Hf", "Hf", "Ir", "Ir", "Ir", "Ir", "I", "I", "I", "I", "I", "I", "I", "I"], "fractional_positions": [[0.0000, 0.0000, 0.0000], [0.0000, 0.5000, 0.2500], [0.5000, 0.0000, 0.7500], [0.5000, 0.5000, 0.5000], [0.0000, 0.0000, 0.5000], [0.0000, 0.5000, 0.7500], [0.5000, 0.0000, 0.2500], [0.5000, 0.5000, 0.0000], [0.2240, 0.2500, 0.6250], [0.2500, 0.7240, 0.8750], [0.2500, 0.7760, 0.3750], [0.2760, 0.2500, 0.1250], [0.7240, 0.7500, 0.1250], [0.7500, 0.2240, 0.3750], [0.7500, 0.2760, 0.8750], [0.7760, 0.7500, 0.6250]]}